5
Lattice="-3.3850 -0.8487 2.3373 2.4441 -0.4090 3.3913 -0.5978 5.3470 1.0757" Properties=species:S:1:pos:R:3 comment="TeRhPbN2, relaxed, DFT PBE" total_energy_ev_per_cell=-25.24 formation_energy_uncorrected_ev_per_fu=5.6 polymorph_energy_ev_per_atom=0.000 pbc="T T T"
N -1.6925 -0.4243 1.1686
N 1.2221 -0.2045 1.6956
Pb -0.7694 2.0447 3.4021
Te -0.2989 2.6735 0.5379
Rh 0.0000 0.0000 0.0000